Zr2Tc3, relaxed, DFT PBE-GGA; SG = No. 43; energy = -9.712 eV per atom; formation enthalpy at 0 K = -73 meV/atom; mass density = 8.7 g/cm3
1.0
7.6772 -1.7308 2.2129
4.2821 1.2664 5.5867
1.4849 -5.2380 1.5003
Zr Tc
4 6
Direct
0.4152 0.9875 0.7376 Zr
0.5124 0.3902 0.8348 Zr
0.8598 0.7376 0.9875 Zr
0.2625 0.8348 0.3902 Zr
0.9607 0.0393 0.0393 Tc
0.4464 0.3164 0.4192 Tc
0.8181 0.4192 0.3164 Tc
0.9336 0.8036 0.4319 Tc
0.8308 0.4319 0.8036 Tc
0.2107 0.2893 0.2893 Tc

=====

Er2PaPb, relaxed, DFT PBE-GGA; SG = No. 166; energy = -5.475 eV per atom; formation enthalpy at 0 K = 107 meV/atom; mass density = 10.7 g/cm3
1.0
3.4263 0.0000 0.0000
1.7132 2.9673 0.0000
1.7132 0.9891 11.7425
Pb Er Pa
1 2 1
Direct
0.0000 0.0000 0.0000 Pb
0.0903 0.0903 0.7291 Er
0.9097 0.9097 0.2709 Er
0.5000 0.5000 0.5000 Pa